[1]
# Mo4AsIr

Mo4AsIr after structural relaxation (GGA-PBE, Alexandria).

DFT formation energy: 0.54 eV/atom
ρ: 10.9 g cm⁻³
Fermi-level density of states: 5.75 states/eV per cell
total magnetic moment: 0.0 μB per formula unit

abc: 5.1889 5.1889 5.1889
angles: 60.00 60.00 60.00
Atoms (fractional coordinates):
Mo (0.1244, 0.1244, 0.1244)
Mo (0.1244, 0.1244, 0.6267)
Mo (0.1244, 0.6267, 0.1244)
Mo (0.6267, 0.1244, 0.1244)
As (0.7500, 0.7500, 0.7500)
Ir (0.5000, 0.5000, 0.5000)

---

[2]
# Mo2AsIr

Mo2AsIr after structural relaxation (GGA-PBE, Alexandria).

DFT formation energy: 0.08 eV/atom
ρ: 12.2 g cm⁻³
excess energy over the best structure of this formula in the dataset: 193 meV per atom
Fermi-level density of states: 2.87 states/eV per cell
total magnetic moment: 0.0 μB per formula unit

abc: 3.1069 3.1069 6.4510
angles: 90.00 90.00 90.00
Atoms (fractional coordinates):
Mo (0.0000, 0.0000, 0.0000)
Mo (0.5000, 0.5000, 0.2693)
As (0.0000, 0.0000, 0.4743)
Ir (0.5000, 0.5000, 0.7557)

---

[3]
# MoAsIr2

MoAsIr2 after structural relaxation (GGA-PBE, Alexandria).

DFT formation energy: 0.10 eV/atom
ρ: 15.2 g cm⁻³
excess energy over the best structure of this formula in the dataset: 156 meV per atom
Fermi-level density of states: 2.02 states/eV per cell
total magnetic moment: 0.0 μB per formula unit

abc: 2.8525 4.6044 4.6185
angles: 90.00 90.00 90.00
Atoms (fractional coordinates):
Mo (0.0000, 0.0000, 0.0000)
As (0.5000, 0.0000, 0.5000)
Ir (0.0000, 0.5000, 0.5000)
Ir (0.5000, 0.5000, 0.0000)

---

[4]
# Mo2AsIr

Mo2AsIr after structural relaxation (GGA-PBE, Alexandria).

DFT formation energy: 0.09 eV/atom
ρ: 12.4 g cm⁻³
excess energy over the best structure of this formula in the dataset: 207 meV per atom
Fermi-level density of states: 3.57 states/eV per cell
total magnetic moment: 0.0 μB per formula unit

abc: 4.9286 4.9286 2.8475
angles: 90.00 90.00 117.22
Atoms (fractional coordinates):
Mo (0.0000, 0.5000, 0.0000)
Mo (0.5000, 0.0000, 0.0000)
As (0.0000, 0.0000, 0.5000)
Ir (0.5000, 0.5000, 0.5000)

---

[5]
# MoAsIr2

MoAsIr2 after structural relaxation (GGA-PBE, Alexandria).

DFT formation energy: 0.05 eV/atom
ρ: 15.2 g cm⁻³
excess energy over the best structure of this formula in the dataset: 110 meV per atom
Fermi-level density of states: 3.03 states/eV per cell
total magnetic moment: 0.0 μB per formula unit

abc: 5.3350 5.3350 5.3350
angles: 148.34 129.93 60.46
Atoms (fractional coordinates):
Mo (0.0000, 0.0000, 0.0000)
As (0.2275, 0.7275, 0.5000)
Ir (0.4401, 0.4401, 0.0000)
Ir (0.7350, 0.2350, 0.5000)

---

[6]
# MoAsIr

MoAsIr after structural relaxation (GGA-PBE, Alexandria).

DFT formation energy: 0.12 eV/atom
ρ: 11.2 g cm⁻³
excess energy over the best structure of this formula in the dataset: 233 meV per atom
Fermi-level density of states: 3.32 states/eV per cell
total magnetic moment: 0.0 μB per formula unit

abc: 4.2347 4.2347 4.2347
angles: 60.00 60.00 60.00
Atoms (fractional coordinates):
Mo (0.0000, 0.0000, 0.0000)
As (0.5000, 0.5000, 0.5000)
Ir (0.7500, 0.7500, 0.7500)

---

[7]
# Mo2AsIr

Mo2AsIr after structural relaxation (GGA-PBE, Alexandria).

DFT formation energy: -0.12 eV/atom
ρ: 12.7 g cm⁻³
excess energy over the best structure of this formula in the dataset: 0 meV per atom
Fermi-level density of states: 2.91 states/eV per cell
total magnetic moment: 0.0 μB per formula unit

abc: 2.9546 2.9546 6.9022
angles: 90.00 90.00 90.00
Atoms (fractional coordinates):
Mo (0.0000, 0.0000, 0.2335)
Mo (0.0000, 0.0000, 0.7665)
As (0.5000, 0.5000, 0.0000)
Ir (0.5000, 0.5000, 0.5000)

---

[8]
# MoAsIr2

MoAsIr2 after structural relaxation (GGA-PBE, Alexandria).

DFT formation energy: 0.08 eV/atom
ρ: 15.3 g cm⁻³
excess energy over the best structure of this formula in the dataset: 142 meV per atom
Fermi-level density of states: 3.77 states/eV per cell
total magnetic moment: 0.0 μB per formula unit

abc: 4.8370 4.8370 4.8370
angles: 132.45 132.45 69.53
Atoms (fractional coordinates):
Mo (0.0000, 0.0000, 0.0000)
As (0.5000, 0.5000, 0.0000)
Ir (0.2500, 0.7500, 0.5000)
Ir (0.7500, 0.2500, 0.5000)

---

[9]
# MoAsIr2

MoAsIr2 after structural relaxation (GGA-PBE, Alexandria).

DFT formation energy: -0.03 eV/atom
ρ: 15.2 g cm⁻³
excess energy over the best structure of this formula in the dataset: 26 meV per atom
Fermi-level density of states: 2.32 states/eV per cell
total magnetic moment: 0.0 μB per formula unit

abc: 2.8327 4.2076 5.2627
angles: 90.00 105.24 90.00
Atoms (fractional coordinates):
Mo (0.0000, 0.0000, 0.0000)
As (0.0000, 0.0000, 0.5000)
Ir (0.3698, 0.5000, 0.7448)
Ir (0.6302, 0.5000, 0.2552)

---

[10]
# MoAsIr

MoAsIr after structural relaxation (GGA-PBE, Alexandria).

DFT formation energy: 0.00 eV/atom
ρ: 12.8 g cm⁻³
excess energy over the best structure of this formula in the dataset: 109 meV per atom
Fermi-level density of states: 0.94 states/eV per cell
total magnetic moment: 0.0 μB per formula unit

abc: 5.8420 5.8420 5.8420
angles: 150.90 150.90 41.62
Atoms (fractional coordinates):
Mo (0.0000, 0.0000, 0.0000)
As (0.6698, 0.6698, 0.0000)
Ir (0.3486, 0.3486, 0.0000)

---

[11]
# Mo2AsIr

Mo2AsIr after structural relaxation (GGA-PBE, Alexandria).

DFT formation energy: 0.14 eV/atom
ρ: 12.3 g cm⁻³
excess energy over the best structure of this formula in the dataset: 257 meV per atom
Fermi-level density of states: 3.08 states/eV per cell
total magnetic moment: 0.0 μB per formula unit

abc: 3.1637 4.3320 4.5106
angles: 90.00 90.00 90.00
Atoms (fractional coordinates):
Mo (0.0000, 0.0000, 0.0000)
Mo (0.5000, 0.5000, 0.0000)
As (0.0000, 0.5000, 0.5000)
Ir (0.5000, 0.0000, 0.5000)

---

[12]
# MoAsIr

MoAsIr after structural relaxation (GGA-PBE, Alexandria).

DFT formation energy: -0.09 eV/atom
ρ: 12.1 g cm⁻³
excess energy over the best structure of this formula in the dataset: 23 meV per atom
Fermi-level density of states: 1.63 states/eV per cell
total magnetic moment: 0.0 μB per formula unit

abc: 2.8704 2.8704 6.0569
angles: 90.00 90.01 90.00
Atoms (fractional coordinates):
Mo (0.0000, 0.0000, 0.0000)
As (0.5069, 0.5000, 0.6899)
Ir (0.5004, 0.5000, 0.2774)

---

[13]
# MoAsIr2

MoAsIr2 after structural relaxation (GGA-PBE, Alexandria).

DFT formation energy: -0.06 eV/atom
ρ: 15.2 g cm⁻³
excess energy over the best structure of this formula in the dataset: 0 meV per atom
Fermi-level density of states: 3.00 states/eV per cell
total magnetic moment: 0.0 μB per formula unit

abc: 3.9751 5.5327 5.5327
angles: 29.88 90.00 90.00
Atoms (fractional coordinates):
Mo (0.0000, 0.0000, 0.0000)
As (0.5000, 0.6130, 0.6130)
Ir (0.0000, 0.7451, 0.7451)
Ir (0.5000, 0.3806, 0.3806)

---

[14]
# MoAsIr

MoAsIr after structural relaxation (GGA-PBE, Alexandria).

DFT formation energy: 0.18 eV/atom
ρ: 12.2 g cm⁻³
excess energy over the best structure of this formula in the dataset: 297 meV per atom
Fermi-level density of states: 1.40 states/eV per cell
total magnetic moment: 0.0 μB per formula unit

abc: 3.4071 3.4071 5.6382
angles: 109.17 109.17 54.03
Atoms (fractional coordinates):
Mo (0.0000, 0.0000, 0.0000)
As (0.4240, 0.4240, 0.3098)
Ir (0.2223, 0.2223, 0.6113)

---

[15]
# MoAsIr2

MoAsIr2 after structural relaxation (GGA-PBE, Alexandria).

DFT formation energy: 0.10 eV/atom
ρ: 15.1 g cm⁻³
excess energy over the best structure of this formula in the dataset: 161 meV per atom
Fermi-level density of states: 3.41 states/eV per cell
total magnetic moment: 0.0 μB per formula unit

abc: 4.7890 4.7890 2.8401
angles: 90.00 90.00 110.80
Atoms (fractional coordinates):
Mo (0.0000, 0.0000, 0.0000)
As (0.5000, 0.5000, 0.0000)
Ir (0.0000, 0.5000, 0.5000)
Ir (0.5000, 0.0000, 0.5000)

---

[16]
# Mo2AsIr

Mo2AsIr after structural relaxation (GGA-PBE, Alexandria).

DFT formation energy: 0.03 eV/atom
ρ: 12.5 g cm⁻³
excess energy over the best structure of this formula in the dataset: 145 meV per atom
Fermi-level density of states: 2.69 states/eV per cell
total magnetic moment: 0.0 μB per formula unit

abc: 5.2091 5.2091 5.2091
angles: 146.01 128.55 63.10
Atoms (fractional coordinates):
Mo (0.2283, 0.2283, 0.0000)
Mo (0.7717, 0.7717, 0.0000)
As (0.0000, 0.5000, 0.5000)
Ir (0.5000, 0.0000, 0.5000)

---

[17]
# Mo2AsIr

Mo2AsIr after structural relaxation (GGA-PBE, Alexandria).

DFT formation energy: 0.74 eV/atom
ρ: 8.5 g cm⁻³
excess energy over the best structure of this formula in the dataset: 854 meV per atom
Fermi-level density of states: 9.24 states/eV per cell
total magnetic moment: 0.0 μB per formula unit

abc: 6.7633 6.7633 6.7633
angles: 129.33 129.33 74.48
Atoms (fractional coordinates):
Mo (0.1169, 0.6250, 0.9919)
Mo (0.3750, 0.3669, 0.4919)
Mo (0.6331, 0.1250, 0.0081)
Mo (0.8750, 0.8831, 0.5081)
As (0.2500, 0.7500, 0.5000)
As (0.5000, 0.5000, 0.0000)
Ir (0.0000, 0.0000, 0.0000)
Ir (0.7500, 0.2500, 0.5000)

---

[18]
# MoAsIr2

MoAsIr2 after structural relaxation (GGA-PBE, Alexandria).

DFT formation energy: 0.01 eV/atom
ρ: 15.1 g cm⁻³
excess energy over the best structure of this formula in the dataset: 64 meV per atom
Fermi-level density of states: 3.04 states/eV per cell
total magnetic moment: 0.0 μB per formula unit

abc: 4.9075 4.9075 4.5992
angles: 93.28 93.28 33.42
Atoms (fractional coordinates):
Mo (0.0000, 0.0000, 0.0000)
As (0.5000, 0.5000, 0.5000)
Ir (0.2661, 0.2661, 0.7586)
Ir (0.7339, 0.7339, 0.2414)

---

[19]
# Mo2AsIr

Mo2AsIr after structural relaxation (GGA-PBE, Alexandria).

DFT formation energy: 0.07 eV/atom
ρ: 12.4 g cm⁻³
excess energy over the best structure of this formula in the dataset: 183 meV per atom
Fermi-level density of states: 3.92 states/eV per cell
total magnetic moment: 0.0 μB per formula unit

abc: 8.9544 8.9544 8.9544
angles: 18.27 18.27 18.27
Atoms (fractional coordinates):
Mo (0.2504, 0.2504, 0.2504)
Mo (0.7496, 0.7496, 0.7496)
As (0.0000, 0.0000, 0.0000)
Ir (0.5000, 0.5000, 0.5000)

---

[20]
# MoAsIr

MoAsIr after structural relaxation (GGA-PBE, Alexandria).

DFT formation energy: -0.02 eV/atom
ρ: 12.6 g cm⁻³
excess energy over the best structure of this formula in the dataset: 92 meV per atom
Fermi-level density of states: 2.08 states/eV per cell
total magnetic moment: 0.0 μB per formula unit

abc: 2.9014 2.9014 6.5789
angles: 90.00 90.00 120.00
Atoms (fractional coordinates):
Mo (0.0000, 0.0000, 0.0000)
As (0.6667, 0.3333, 0.3026)
Ir (0.6667, 0.3333, 0.6805)